No. 1
DFT (PBE-GGA) results for a geometry-optimized YAg2Mo structure.

Calculated values
Formation energy   0.35 eV/atom
Density of states at the Fermi level   8.99 states/eV per cell

Cell: 5.9187 8.7310 2.9934 Å, 90.00 90.00 90.00°
Space group Cmmm (No. 65)
Asymmetric unit:
1 Y 0.0000 0.0000 0.0000 [2 per cell]
2 Ag 0.2500 0.2500 0.5000 [4 per cell]
3 Mo 0.0000 0.5000 0.0000 [2 per cell]

No. 2
DFT (PBE-GGA) results for a geometry-optimized Na2CaZnGe2 structure.

Calculated values
Formation energy   -0.22 eV/atom
Density of states at the Fermi level   7.34 states/eV per cell

Cell: 4.5090 8.4228 7.4176 Å, 90.00 90.00 90.00°
Space group Pmc2_1 (No. 26)
Asymmetric unit:
1 Na 0.0000 0.0852 0.0000 [2 per cell]
2 Na 0.5000 0.1555 0.3204 [2 per cell]
3 Ca 0.5000 0.4570 0.9964 [2 per cell]
4 Zn 0.0000 0.3161 0.6360 [2 per cell]
5 Ge 0.0000 0.3890 0.2794 [2 per cell]
6 Ge 0.5000 0.1873 0.7155 [2 per cell]

No. 3
DFT (PBE-GGA) results for a geometry-optimized KTl2CoPb structure.

Calculated values
Formation energy   0.11 eV/atom
Density of states at the Fermi level   4.23 states/eV per cell

Cell: 5.2403 5.2403 5.2002 Å, 90.00 90.00 90.00°
Space group P4/mmm (No. 123)
Asymmetric unit:
1 K 0.0000 0.0000 0.0000 [1 per cell]
2 Tl 0.0000 0.5000 0.5000 [2 per cell]
3 Co 0.5000 0.5000 0.5000 [1 per cell]
4 Pb 0.5000 0.5000 0.0000 [1 per cell]